(1)
Cs2TlO | PBE-GGA | optimized geometry

Summary:
Space-group type ... Fm-3m, No. 225
Formation energy (no corrections) ... -0.04 eV per atom
Total moment ... 0.00 μB/f.u.
Total DFT energy (no corrections) ... -2.295 eV/atom
Relative energy among the computed polymorphs ... 0.514 eV per atom

a b c (Å): 8.319 8.319 8.319
angles (deg): 90.00 90.00 90.00
Element x y z (fractional)
1 Cs 0.250 0.250 0.250
2 Cs 0.250 0.250 0.750
3 Cs 0.250 0.750 0.250
4 Cs 0.250 0.750 0.750
5 Cs 0.750 0.250 0.250
6 Cs 0.750 0.250 0.750
7 Cs 0.750 0.750 0.250
8 Cs 0.750 0.750 0.750
9 Tl 0.000 0.000 0.000
10 Tl 0.000 0.500 0.500
11 Tl 0.500 0.000 0.500
12 Tl 0.500 0.500 0.000
13 O 0.000 0.000 0.500
14 O 0.000 0.500 0.000
15 O 0.500 0.000 0.000
16 O 0.500 0.500 0.500


(2)
CsTlO2 | PBE-GGA | optimized geometry

Summary:
Space-group type ... Pna2_1, No. 33
Formation energy (no corrections) ... -0.96 eV per atom
Total moment ... 0.00 μB/f.u.
Total DFT energy (no corrections) ... -4.246 eV/atom

a b c (Å): 6.162 9.730 6.162
angles (deg): 90.00 90.00 90.00
Element x y z (fractional)
1 Cs 0.013 0.124 0.000
2 Cs 0.487 0.624 0.500
3 Cs 0.513 0.376 0.000
4 Cs 0.987 0.876 0.500
5 Tl 0.024 0.625 0.982
6 Tl 0.476 0.125 0.482
7 Tl 0.524 0.875 0.982
8 Tl 0.976 0.375 0.482
9 O 0.005 0.424 0.126
10 O 0.121 0.177 0.519
11 O 0.379 0.677 0.019
12 O 0.495 0.924 0.626
13 O 0.505 0.076 0.126
14 O 0.621 0.323 0.519
15 O 0.879 0.823 0.019
16 O 0.995 0.576 0.626


(3)
CsTlO2 | PBE-GGA | optimized geometry

Summary:
Space-group type ... I4/mcm, No. 140
Formation energy (no corrections) ... -0.85 eV per atom
Total moment ... 0.00 μB/f.u.
Total DFT energy (no corrections) ... -4.130 eV/atom

a b c (Å): 7.451 7.451 6.612
angles (deg): 90.00 90.00 90.00
Element x y z (fractional)
1 Cs 0.000 0.000 0.250
2 Cs 0.000 0.000 0.750
3 Cs 0.500 0.500 0.250
4 Cs 0.500 0.500 0.750
5 Tl 0.000 0.500 0.250
6 Tl 0.000 0.500 0.750
7 Tl 0.500 0.000 0.250
8 Tl 0.500 0.000 0.750
9 O 0.142 0.358 0.000
10 O 0.142 0.642 0.500
11 O 0.358 0.142 0.500
12 O 0.358 0.858 0.000
13 O 0.642 0.142 0.000
14 O 0.642 0.858 0.500
15 O 0.858 0.358 0.500
16 O 0.858 0.642 0.000